The following is a PBE-GGA calculation of a relaxed structure of CdTe2Ir, from the Alexandria database.

Values from the calculation:
Calculated density, g cm⁻³: 10.41
Space-group type: F-43m (216)
DFT total energy, eV/atom: -3.374
Formation energy (no corrections), eV/atom: 0.6405

Cell lengths 5.0174, 5.0174, 5.0174 Å; angles 60.00, 60.00, 60.00 degrees
With the nearest neighbours (Å) after each atom.
Fractional coordinates of all 4 atoms:
Ir 0.7500 0.7500 0.7500  4 Cd 3.07, 4 Te 3.07
Te 0.0000 0.0000 0.0000  4 Te 3.07, 4 Ir 3.07
Te 0.2500 0.2500 0.2500  4 Cd 3.07, 4 Te 3.07
Cd 0.5000 0.5000 0.5000  4 Te 3.07, 4 Ir 3.07